<P>
Here is Na3TiF6 after structural relaxation from Alexandria via LeMat-Bulk. Energies are from PBE.

## Properties
Magnetization, μB/f.u.: 1.00
Space-group type: C2/m (12)

The structure in CIF format:
```
data_Na3TiF6
_cell_length_a 5.660
_cell_length_b 5.816
_cell_length_c 5.816
_cell_angle_alpha 60.88
_cell_angle_beta 60.53
_cell_angle_gamma 60.53
_space_group_name_H-M_alt 'P 1'
_space_group_IT_number 1
loop_
_space_group_symop_operation_xyz
'x,y,z'
loop_
_atom_site_label
_atom_site_fract_x
_atom_site_fract_y
_atom_site_fract_z
Na1 0.295 0.249 0.249
Na2 0.705 0.751 0.751
Na3 0.000 0.000 0.000
Ti1 0.500 0.500 0.500
F1 0.343 0.188 0.663
F2 0.657 0.337 0.812
F3 0.657 0.812 0.337
F4 0.343 0.663 0.188
F5 0.142 0.717 0.717
F6 0.858 0.283 0.283
```

=====

<Q>
Here is Na3TiF6 after structural relaxation from Alexandria via LeMat-Bulk. Energies are from PBE.

## Properties
Magnetization, μB/f.u.: 1.00
Space-group type: Fm-3m (225)

The structure in CIF format:
```
data_Na3TiF6
_cell_length_a 5.886
_cell_length_b 5.886
_cell_length_c 5.886
_cell_angle_alpha 60.00
_cell_angle_beta 60.00
_cell_angle_gamma 60.00
_space_group_name_H-M_alt 'P 1'
_space_group_IT_number 1
loop_
_space_group_symop_operation_xyz
'x,y,z'
loop_
_atom_site_label
_atom_site_fract_x
_atom_site_fract_y
_atom_site_fract_z
Na1 0.250 0.250 0.250
Na2 0.750 0.750 0.750
Na3 0.500 0.500 0.500
Ti1 0.000 0.000 0.000
F1 0.237 0.237 0.763
F2 0.237 0.763 0.763
F3 0.763 0.763 0.237
F4 0.237 0.763 0.237
F5 0.763 0.237 0.763
F6 0.763 0.237 0.237
```

=====

Which is the most stable structure? <P> is the most stable.

=====

<P>
Here is Na3TiF6 after structural relaxation from Alexandria via LeMat-Bulk. Energies are from PBE.

## Properties
Magnetization, μB/f.u.: 0.99
Space-group type: Fmmm (69)

The structure in CIF format:
```
data_Na3TiF6
_cell_length_a 5.320
_cell_length_b 5.320
_cell_length_c 6.389
_cell_angle_alpha 111.11
_cell_angle_beta 111.11
_cell_angle_gamma 97.75
_space_group_name_H-M_alt 'P 1'
_space_group_IT_number 1
loop_
_space_group_symop_operation_xyz
'x,y,z'
loop_
_atom_site_label
_atom_site_fract_x
_atom_site_fract_y
_atom_site_fract_z
Na1 0.750 0.250 0.500
Na2 0.500 0.500 0.000
Na3 0.250 0.750 0.500
Ti1 0.000 0.000 0.000
F1 0.656 0.656 0.743
F2 0.913 0.913 0.257
F3 0.087 0.087 0.743
F4 0.344 0.344 0.257
F5 0.763 0.237 0.000
F6 0.237 0.763 0.000
```

=====

<Q>
Here is Na3TiF6 after structural relaxation from Alexandria via LeMat-Bulk. Energies are from PBE.

## Properties
Magnetization, μB/f.u.: 1.00
Space-group type: P2_1/c (14)

The structure in CIF format:
```
data_Na3TiF6
_cell_length_a 5.807
_cell_length_b 5.628
_cell_length_c 9.836
_cell_angle_alpha 55.83
_cell_angle_beta 90.00
_cell_angle_gamma 90.00
_space_group_name_H-M_alt 'P 1'
_space_group_IT_number 1
loop_
_space_group_symop_operation_xyz
'x,y,z'
loop_
_atom_site_label
_atom_site_fract_x
_atom_site_fract_y
_atom_site_fract_z
Na1 0.500 0.500 0.000
Na2 0.000 0.500 0.500
Na3 0.055 0.730 0.757
Na4 0.945 0.270 0.243
Na5 0.555 0.270 0.743
Na6 0.445 0.730 0.257
Ti1 0.500 0.000 0.500
Ti2 0.000 0.000 0.000
F1 0.780 0.760 0.573
F2 0.220 0.240 0.427
F3 0.280 0.240 0.927
F4 0.720 0.760 0.073
F5 0.436 0.892 0.730
F6 0.564 0.108 0.270
F7 0.936 0.108 0.770
F8 0.064 0.892 0.230
F9 0.324 0.651 0.555
F10 0.676 0.349 0.445
F11 0.824 0.349 0.945
F12 0.176 0.651 0.055
```

=====

Which is the most stable structure? <Q> is the most stable.

=====

<P>
Here is Na3TiF8 after structural relaxation from Alexandria via LeMat-Bulk. Energies are from PBE.

## Properties
Magnetization, μB/f.u.: 1.00
Space-group type: Pm-3m (221)

The structure in CIF format:
```
data_Na3TiF8
_cell_length_a 5.306
_cell_length_b 5.306
_cell_length_c 5.306
_cell_angle_alpha 90.00
_cell_angle_beta 90.00
_cell_angle_gamma 90.00
_space_group_name_H-M_alt 'P 1'
_space_group_IT_number 1
loop_
_space_group_symop_operation_xyz
'x,y,z'
loop_
_atom_site_label
_atom_site_fract_x
_atom_site_fract_y
_atom_site_fract_z
Na1 0.500 0.500 0.000
Na2 0.500 0.000 0.500
Na3 0.000 0.500 0.500
Ti1 0.000 0.000 0.000
F1 0.222 0.222 0.778
F2 0.222 0.778 0.222
F3 0.778 0.222 0.222
F4 0.778 0.778 0.778
F5 0.778 0.778 0.222
F6 0.778 0.222 0.778
F7 0.222 0.778 0.778
F8 0.222 0.222 0.222
```

=====

<Q>
Here is Na3TiF8 after structural relaxation from Alexandria via LeMat-Bulk. Energies are from PBE.

## Properties
Magnetization, μB/f.u.: 1.00
Space-group type: Cmcm (63)

The structure in CIF format:
```
data_Na3TiF8
_cell_length_a 7.860
_cell_length_b 7.860
_cell_length_c 6.665
_cell_angle_alpha 90.00
_cell_angle_beta 90.00
_cell_angle_gamma 124.63
_space_group_name_H-M_alt 'P 1'
_space_group_IT_number 1
loop_
_space_group_symop_operation_xyz
'x,y,z'
loop_
_atom_site_label
_atom_site_fract_x
_atom_site_fract_y
_atom_site_fract_z
Na1 0.326 0.674 0.750
Na2 0.674 0.326 0.250
Na3 0.345 0.156 0.750
Na4 0.156 0.345 0.250
Na5 0.655 0.844 0.250
Na6 0.844 0.655 0.750
Ti1 0.847 0.153 0.750
Ti2 0.153 0.847 0.250
F1 0.759 0.877 0.750
F2 0.877 0.759 0.250
F3 0.241 0.123 0.250
F4 0.123 0.241 0.750
F5 0.564 0.057 0.750
F6 0.057 0.564 0.250
F7 0.436 0.943 0.250
F8 0.943 0.436 0.750
F9 0.846 0.154 0.036
F10 0.154 0.846 0.964
F11 0.846 0.154 0.464
F12 0.154 0.846 0.536
F13 0.571 0.429 0.970
F14 0.429 0.571 0.030
F15 0.571 0.429 0.530
F16 0.429 0.571 0.470
```

=====

Which is the most stable structure? <Q> is the most stable.

=====

<P>
Here is NaTi2F8 after structural relaxation from Alexandria via LeMat-Bulk. Energies are from PBE.

## Properties
Magnetization, μB/f.u.: 1.00
Space-group type: C2/m (12)

The structure in CIF format:
```
data_NaTi2F8
_cell_length_a 5.222
_cell_length_b 6.011
_cell_length_c 6.011
_cell_angle_alpha 60.55
_cell_angle_beta 97.92
_cell_angle_gamma 97.92
_space_group_name_H-M_alt 'P 1'
_space_group_IT_number 1
loop_
_space_group_symop_operation_xyz
'x,y,z'
loop_
_atom_site_label
_atom_site_fract_x
_atom_site_fract_y
_atom_site_fract_z
Na1 0.000 0.000 0.000
Ti1 0.489 0.735 0.735
Ti2 0.511 0.265 0.265
F1 0.309 0.379 0.920
F2 0.691 0.080 0.621
F3 0.243 0.845 0.845
F4 0.757 0.155 0.155
F5 0.309 0.920 0.379
F6 0.691 0.621 0.080
F7 0.716 0.621 0.621
F8 0.284 0.379 0.379
```

=====

<Q>
Here is NaTi2F8 after structural relaxation from Alexandria via LeMat-Bulk. Energies are from PBE.

## Properties
Magnetization, μB/f.u.: 1.00
Space-group type: P-3 (147)

The structure in CIF format:
```
data_NaTi2F8
_cell_length_a 3.976
_cell_length_b 6.940
_cell_length_c 6.940
_cell_angle_alpha 120.01
_cell_angle_beta 90.00
_cell_angle_gamma 90.00
_space_group_name_H-M_alt 'P 1'
_space_group_IT_number 1
loop_
_space_group_symop_operation_xyz
'x,y,z'
loop_
_atom_site_label
_atom_site_fract_x
_atom_site_fract_y
_atom_site_fract_z
Na1 0.000 0.000 0.000
F1 0.252 0.667 0.333
F2 0.748 0.333 0.667
F3 0.754 0.817 0.180
F4 0.246 0.180 0.363
F5 0.246 0.637 0.817
F6 0.246 0.183 0.820
F7 0.754 0.820 0.637
F8 0.754 0.363 0.182
Ti1 0.248 0.333 0.667
Ti2 0.752 0.667 0.333
```

=====

Which is the most stable structure? <Q> is the most stable.